1.
{"formula": "Tm2TlH", "functional": "PBE", "state": "optimized geometry", "cell": [[-2.847, 2.036, -0.548], [-2.674, -1.193, -1.995], [-5.217, -2.738, 5.484]], "species": ["H", "Tl", "Tm", "Tm"], "frac_coords": [[0.000, 0.000, 0.000], [0.500, 0.500, 0.500], [0.276, 0.276, 0.171], [0.724, 0.724, 0.829]], "crystal_system": "trigonal", "spacegroup": "R-3m"}

=====

2.
{"formula": "BaMg2GaHg4", "functional": "PBE", "state": "optimized geometry", "cell": [[-1.746, -4.322, -1.454], [1.070, -1.692, -4.454], [8.156, -6.664, 1.814]], "species": ["Ba", "Mg", "Mg", "Ga", "Hg", "Hg", "Hg", "Hg"], "frac_coords": [[0.000, 0.000, 0.000], [0.770, 0.770, 0.690], [0.230, 0.230, 0.310], [0.500, 0.500, 0.500], [0.400, 0.400, 0.799], [0.873, 0.873, 0.380], [0.127, 0.127, 0.620], [0.600, 0.600, 0.201]], "delta_e_f_ev_per_atom": -0.27, "crystal_system": "trigonal", "spacegroup": "R-3m"}

=====

3.
{"formula": "Li4In5Hg", "functional": "PBE", "state": "optimized geometry", "cell": [[-3.403, -1.639, -2.519], [2.562, -6.434, 0.726], [-3.326, 3.201, 6.503]], "species": ["Li", "Li", "Li", "Li", "In", "In", "In", "In", "In", "Hg"], "frac_coords": [[0.329, 0.073, 0.658], [0.986, 0.222, 0.973], [0.671, 0.927, 0.342], [0.014, 0.778, 0.027], [0.833, 0.363, 0.667], [0.822, 0.776, 0.644], [0.178, 0.224, 0.356], [0.500, 0.500, 0.000], [0.167, 0.637, 0.333], [0.500, 0.000, 0.000]], "delta_e_f_ev_per_atom": -0.21, "crystal_system": "monoclinic", "spacegroup": "C2/m"}

=====

4.
{"formula": "TaCd2Cl", "functional": "PBE", "state": "optimized geometry", "cell": [[-4.740, -5.221, -2.844], [-2.199, -6.492, -3.290], [-0.811, -2.736, 3.174]], "species": ["Cl", "Cd", "Cd", "Ta"], "frac_coords": [[0.750, 0.750, 0.750], [0.939, 0.939, 0.061], [0.561, 0.561, 0.439], [0.250, 0.250, 0.250]], "formation_energy_uncorrected_kj_per_mol_atoms": 24.2, "crystal_system": "orthorhombic", "spacegroup": "Immm"}

=====

5.
{"formula": "Dy3Si3Au2", "functional": "PBE", "state": "optimized geometry", "cell": [[4.288, 0.000, 0.000], [-2.144, 5.332, 0.000], [0.000, 0.000, 14.172]], "species": ["Dy", "Dy", "Dy", "Dy", "Dy", "Dy", "Si", "Si", "Si", "Si", "Si", "Si", "Au", "Au", "Au", "Au"], "frac_coords": [[0.919, 0.837, 0.385], [0.081, 0.163, 0.885], [0.919, 0.837, 0.115], [0.081, 0.163, 0.615], [0.636, 0.273, 0.250], [0.364, 0.727, 0.750], [0.600, 0.199, 0.459], [0.400, 0.801, 0.959], [0.600, 0.199, 0.041], [0.400, 0.801, 0.541], [0.349, 0.699, 0.250], [0.651, 0.301, 0.750], [0.790, 0.580, 0.905], [0.210, 0.420, 0.405], [0.790, 0.580, 0.595], [0.210, 0.420, 0.095]], "formation_energy_uncorrected_kj_per_mol_atoms": -76.0, "crystal_system": "orthorhombic", "spacegroup": "Cmcm"}

=====

6.
{"formula": "LaTe2OsN", "functional": "PBE", "state": "optimized geometry", "cell": [[6.227, 0.000, 0.000], [0.000, 6.227, 0.000], [0.000, 0.000, 3.963]], "species": ["N", "Te", "Te", "Os", "La"], "frac_coords": [[0.000, 0.000, 0.500], [0.000, 0.500, 0.000], [0.500, 0.000, 0.000], [0.500, 0.500, 0.500], [0.000, 0.000, 0.000]], "formation_energy_uncorrected_kj_per_mol_atoms": 130.2, "crystal_system": "tetragonal", "spacegroup": "P4/mmm"}

=====

| no. | VASP energy (eV per atom) | M_tot (μB/atom) |
| --- | --- | --- |
| 1 | -3.9438 | 0.000 |
| 2 | -1.4372 | 0.000 |
| 3 | -2.3771 | 0.000 |
| 4 | -3.6314 | 0.000 |
| 5 | -5.3661 | 0.086 |
| 6 | -4.8038 | 0.568 |